[1]
BeSbAs2: optimized geometry, PBE-GGA.

- ΔE to the lowest computed polymorph (meV/atom) = 597.6
- formation energy from raw total energies (meV per atom) = 626
- final energy (eV/atom) = -3.66
- spin magnetization (Bohr magnetons per cell) = 0.0

abc: 4.737 4.737 3.443
angles: 90.00 90.00 90.00
Fractional positions:
Be 0.500 0.000 0.500
Sb 0.000 0.500 0.500
As 0.500 0.500 0.000
As 0.000 0.000 0.000

[2]
NaSr8Cd2: optimized geometry, PBE-GGA.

- ΔE to the lowest computed polymorph (meV/atom) = 18.8
- final energy (eV/atom) = -1.58
- spin magnetization (Bohr magnetons per cell) = 0.0
- DFT formation energy (eV/f.u.) = -0.79

abc: 6.202 8.351 10.861
angles: 112.68 106.60 90.04
Fractional positions:
Na 0.136 0.978 0.909
Sr 0.527 0.723 0.689
Sr 0.925 0.434 0.487
Sr 0.137 0.548 0.909
Sr 0.347 0.857 0.331
Sr 0.972 0.019 0.581
Cd 0.803 0.610 0.243
Sr 0.300 0.348 0.238
Cd 0.470 0.276 0.577
Sr 0.637 0.266 0.910
Sr 0.746 0.941 0.128

[3]
YAlFe: optimized geometry, PBE-GGA.

- final energy (eV/atom) = -5.37
- spin magnetization (Bohr magnetons per cell) = 2.3
- DFT formation energy (eV/f.u.) = 2.57

abc: 4.695 4.695 4.695
angles: 60.00 60.00 60.00
Fractional positions:
Fe 0.500 0.500 0.500
Al 0.000 0.000 0.000
Y 0.750 0.750 0.750

[4]
SrSm2Cd8: optimized geometry, PBE-GGA.

- final energy (eV/atom) = -1.97
- spin magnetization (Bohr magnetons per cell) = 0.0
- DFT formation energy (eV/f.u.) = -3.21

abc: 5.412 6.509 9.191
angles: 110.74 107.13 89.98
Fractional positions:
Cd 0.250 0.500 0.000
Cd 0.704 0.204 0.408
Cd 0.867 0.101 0.735
Cd 0.132 0.365 0.265
Sm 0.690 0.690 0.381
Cd 0.133 0.899 0.265
Sr 0.500 0.000 0.000
Cd 0.868 0.635 0.735
Cd 0.750 0.500 0.000
Sm 0.310 0.310 0.619
Cd 0.296 0.796 0.592

[5]
Pr2Dy6Zr: optimized geometry, PBE-GGA.

- final energy (eV/atom) = -4.97
- spin magnetization (Bohr magnetons per cell) = 0.0
- DFT formation energy (eV/f.u.) = 1.00

abc: 3.439 9.674 10.290
angles: 118.04 70.36 90.00
Fractional positions:
Zr 0.000 0.000 0.000
Dy 0.176 0.000 0.324
Dy 0.500 0.324 0.000
Pr 0.666 0.667 0.334
Dy 0.176 0.324 0.324
Dy 0.500 0.676 0.000
Dy 0.824 0.000 0.676
Pr 0.334 0.333 0.666
Dy 0.824 0.676 0.676

[6]
CrCo2: optimized geometry, PBE-GGA.

- final energy (eV/atom) = -7.82
- spin magnetization (Bohr magnetons per cell) = 0.0
- DFT formation energy (eV/f.u.) = 0.37

abc: 2.473 2.473 6.081
angles: 90.00 90.00 120.00
Fractional positions:
Cr 0.667 0.333 0.333
Co 0.333 0.667 0.663
Co 0.000 0.000 0.004

[7]
Ta2Ti2Al: optimized geometry, PBE-GGA.

- ΔE to the lowest computed polymorph (meV/atom) = 0.0
- final energy (eV/atom) = -8.74
- spin magnetization (Bohr magnetons per cell) = 0.0
- DFT formation energy (eV/f.u.) = -0.48

abc: 4.692 5.710 7.071
angles: 103.05 109.38 90.00
Fractional positions:
Ti 0.401 0.346 0.802
Ta 0.202 0.542 0.404
Al 0.000 0.750 0.000
Al 0.000 0.250 0.000
Ti 0.599 0.154 0.198
Ta 0.798 0.458 0.596
Ta 0.798 0.958 0.596
Ti 0.401 0.846 0.802
Ta 0.202 0.042 0.404
Ti 0.599 0.654 0.198

[8]
ReW2Cl: optimized geometry, PBE-GGA.

- ΔE to the lowest computed polymorph (meV/atom) = 187.9
- formation energy from raw total energies (meV per atom) = 591
- final energy (eV/atom) = -9.46
- spin magnetization (Bohr magnetons per cell) = 0.0

abc: 2.827 2.827 8.991
angles: 90.00 90.00 115.73
Fractional positions:
Re 0.500 0.500 0.750
W 0.000 0.000 0.994
W 0.000 0.000 0.506
Cl 0.500 0.500 0.250

[9]
PmPrTmAg: optimized geometry, PBE-GGA.

- ΔE to the lowest computed polymorph (meV/atom) = 0.0
- final energy (eV/atom) = -4.34
- spin magnetization (Bohr magnetons per cell) = 0.0
- DFT formation energy (eV/f.u.) = -0.51

abc: 3.670 3.670 8.721
angles: 90.00 90.00 90.00
Fractional positions:
Pr 0.000 0.000 0.080
Ag 0.000 0.000 0.555
Pm 0.500 0.500 0.782
Tm 0.500 0.500 0.368

[10]
PrGa3Pt3: optimized geometry, PBE-GGA.

- ΔE to the lowest computed polymorph (meV/atom) = 269.9
- final energy (eV/atom) = -5.05
- spin magnetization (Bohr magnetons per cell) = 0.0
- DFT formation energy (eV/f.u.) = -3.37

abc: 6.848 6.848 6.848
angles: 90.00 90.00 90.00
Fractional positions:
Ga 0.250 0.500 0.000
Ga 0.750 0.500 0.000
Pt 0.000 0.500 0.750
Pt 0.000 0.500 0.250
Pr 0.500 0.500 0.500
Ga 0.500 0.000 0.250
Pt 0.500 0.250 0.000
Pt 0.750 0.000 0.500
Pr 0.000 0.000 0.000
Pt 0.250 0.000 0.500
Pt 0.500 0.750 0.000
Ga 0.000 0.250 0.500
Ga 0.000 0.750 0.500
Ga 0.500 0.000 0.750

[11]
La2Th3S8: optimized geometry, PBE-GGA.

- formation energy from raw total energies (meV per atom) = -1935
- final energy (eV/atom) = -6.95
- spin magnetization (Bohr magnetons per cell) = 0.0

abc: 6.787 8.332 8.356
angles: 119.90 106.83 90.00
Fractional positions:
S 0.070 0.884 0.767
S 0.930 0.116 0.233
La 0.657 0.735 0.469
S 0.418 0.899 0.251
S 0.418 0.352 0.251
Th 0.000 0.745 0.000
S 0.086 0.390 0.781
S 0.582 0.101 0.749
S 0.914 0.610 0.219
S 0.582 0.648 0.749
Th 0.500 0.000 0.000
Th 0.000 0.255 0.000
La 0.343 0.265 0.531

[12]
BaSbC3: optimized geometry, PBE-GGA.

- ΔE to the lowest computed polymorph (meV/atom) = 0.0
- formation energy from raw total energies (meV per atom) = 1946
- final energy (eV/atom) = -4.80
- spin magnetization (Bohr magnetons per cell) = 0.0

abc: 4.425 4.425 4.425
angles: 90.00 90.00 90.00
Fractional positions:
C 0.500 0.000 0.000
C 0.000 0.000 0.500
C 0.000 0.500 0.000
Sb 0.000 0.000 0.000
Ba 0.500 0.500 0.500

[13]
HoGa2Ni2Pd: optimized geometry, PBE-GGA.

- final energy (eV/atom) = -4.64
- spin magnetization (Bohr magnetons per cell) = 0.0
- DFT formation energy (eV/f.u.) = -0.45

abc: 4.638 4.638 5.263
angles: 90.00 90.00 90.00
Fractional positions:
Ho 0.000 0.000 0.500
Ni 0.500 0.500 0.257
Pd 0.000 0.000 0.000
Ga 0.500 0.000 0.000
Ga 0.000 0.500 0.000
Ni 0.500 0.500 0.743

[14]
BaLaGa3: optimized geometry, PBE-GGA.

- ΔE to the lowest computed polymorph (meV/atom) = 0.0
- final energy (eV/atom) = -3.74
- spin magnetization (Bohr magnetons per cell) = 0.0
- DFT formation energy (eV/f.u.) = -2.79

abc: 4.378 4.507 14.957
angles: 98.66 90.00 90.00
Fractional positions:
Ga 0.250 0.479 0.957
Ga 0.750 0.521 0.043
Ga 0.250 0.394 0.789
La 0.750 0.938 0.876
La 0.250 0.062 0.124
Ba 0.750 0.195 0.390
Ga 0.250 0.650 0.300
Ba 0.250 0.805 0.610
Ga 0.750 0.350 0.700
Ga 0.750 0.606 0.211

[15]
Li2InW: optimized geometry, PBE-GGA.

- final energy (eV/atom) = -4.46
- spin magnetization (Bohr magnetons per cell) = 0.0
- DFT formation energy (eV/f.u.) = 1.67

abc: 5.526 5.526 5.350
angles: 64.75 64.75 28.38
Fractional positions:
Li 0.005 0.005 0.096
In 0.750 0.750 0.648
Li 0.248 0.248 0.154
W 0.497 0.497 0.603

[16]
BaLiRh: optimized geometry, PBE-GGA.

- ΔE to the lowest computed polymorph (meV/atom) = 88.4
- final energy (eV/atom) = -3.70
- spin magnetization (Bohr magnetons per cell) = 0.0
- DFT formation energy (eV/f.u.) = 0.09

abc: 4.888 4.888 4.888
angles: 60.00 60.00 60.00
Fractional positions:
Rh 0.750 0.750 0.750
Li 0.500 0.500 0.500
Ba 0.000 0.000 0.000

[17]
Pr3Nd7Dy: optimized geometry, PBE-GGA.

- ΔE to the lowest computed polymorph (meV/atom) = 0.0
- final energy (eV/atom) = -4.59
- spin magnetization (Bohr magnetons per cell) = 0.0
- DFT formation energy (eV/f.u.) = 1.78

abc: 8.866 7.276 7.276
angles: 120.00 90.00 90.00
Fractional positions:
Pr 0.782 0.500 0.500
Nd 0.117 0.167 0.334
Nd 0.451 0.334 0.167
Pr 0.782 0.500 0.999
Nd 0.117 0.167 0.833
Nd 0.451 0.833 0.666
Dy 0.443 0.333 0.667
Pr 0.782 0.001 0.500
Nd 0.451 0.833 0.167
Nd 0.123 0.667 0.333
Nd 0.117 0.666 0.833

[18]
CdFe2Cu: optimized geometry, PBE-GGA.

- final energy (eV/atom) = -5.18
- spin magnetization (Bohr magnetons per cell) = 5.0
- DFT formation energy (eV/f.u.) = 1.22

abc: 5.080 5.080 5.080
angles: 146.64 127.25 63.86
Fractional positions:
Cd 0.500 0.500 0.000
Cu 0.235 0.735 0.500
Fe 0.991 0.991 0.000
Fe 0.774 0.274 0.500

[19]
LaBMo: optimized geometry, PBE-GGA.

- ΔE to the lowest computed polymorph (meV/atom) = 140.6
- final energy (eV/atom) = -7.46
- spin magnetization (Bohr magnetons per cell) = 0.0
- DFT formation energy (eV/f.u.) = 0.05

abc: 4.256 5.785 5.878
angles: 110.16 108.63 103.78
Fractional positions:
Mo 0.078 0.192 0.887
La 0.724 0.505 0.548
La 0.651 0.862 0.146
B 0.106 0.558 0.229
Mo 0.395 0.976 0.611
B 0.686 0.341 0.012

[20]
Dy3Er2Th3: optimized geometry, PBE-GGA.

- ΔE to the lowest computed polymorph (meV/atom) = 0.0
- final energy (eV/atom) = -5.61
- spin magnetization (Bohr magnetons per cell) = 0.0
- DFT formation energy (eV/f.u.) = 0.30

abc: 5.018 5.005 10.064
angles: 90.00 90.00 90.00
Fractional positions:
Th 0.500 0.000 0.000
Dy 0.000 0.500 0.000
Er 0.000 0.000 0.751
Dy 0.500 0.000 0.500
Th 0.500 0.500 0.750
Dy 0.000 0.500 0.500
Th 0.500 0.500 0.250
Er 0.000 0.000 0.249

[21]
Tb3Sn2Ge: optimized geometry, PBE-GGA.

- final energy (eV/atom) = -5.09
- spin magnetization (Bohr magnetons per cell) = 0.0
- DFT formation energy (eV/f.u.) = -4.01

abc: 4.346 11.939 12.465
angles: 90.00 90.00 90.00
Fractional positions:
Tb 0.250 0.120 0.552
Ge 0.750 0.872 0.873
Tb 0.250 0.380 0.052
Tb 0.250 0.716 0.238
Sn 0.250 0.505 0.811
Ge 0.750 0.628 0.373
Sn 0.250 0.704 0.507
Sn 0.250 0.796 0.007
Tb 0.750 0.951 0.115
Tb 0.250 0.784 0.738
Sn 0.250 0.995 0.311
Sn 0.750 0.204 0.993
Sn 0.750 0.005 0.689
Ge 0.250 0.372 0.627
Ge 0.250 0.128 0.127
Tb 0.250 0.049 0.885
Tb 0.750 0.880 0.448
Tb 0.750 0.216 0.262
Tb 0.750 0.549 0.615
Tb 0.750 0.620 0.948
Tb 0.750 0.284 0.762
Sn 0.750 0.495 0.189
Sn 0.750 0.296 0.493
Tb 0.250 0.451 0.385

[22]
Ba4Sc2Ge: optimized geometry, PBE-GGA.

- final energy (eV/atom) = -3.18
- spin magnetization (Bohr magnetons per cell) = 2.8
- DFT formation energy (eV/f.u.) = 2.69

abc: 6.602 6.602 9.674
angles: 70.05 70.05 90.00
Fractional positions:
Ba 0.000 0.500 0.000
Ba 0.188 0.188 0.624
Ba 0.500 0.000 0.000
Sc 0.412 0.412 0.176
Sc 0.588 0.588 0.824
Ba 0.812 0.812 0.376
Ge 0.000 0.000 0.000

[23]
PmReC: optimized geometry, PBE-GGA.

- ΔE to the lowest computed polymorph (meV/atom) = 0.0
- final energy (eV/atom) = -8.80
- spin magnetization (Bohr magnetons per cell) = 0.0
- DFT formation energy (eV/f.u.) = 0.01

abc: 5.159 7.186 6.805
angles: 82.18 67.72 68.96
Fractional positions:
C 0.999 0.704 0.299
Pm 0.519 0.683 0.279
Re 0.903 0.194 0.000
C 0.298 0.704 0.701
Pm 0.202 0.317 0.279
C 0.702 0.296 0.299
Pm 0.481 0.317 0.721
Re 0.806 0.000 0.389
Pm 0.798 0.683 0.721
Re 0.097 0.806 0.000
Re 0.194 0.000 0.611
C 0.001 0.296 0.701

[24]
Sr2HoNpS6: optimized geometry, PBE-GGA.

- formation energy from raw total energies (meV per atom) = -1758
- final energy (eV/atom) = -6.32
- spin magnetization (Bohr magnetons per cell) = 4.0

abc: 6.934 7.401 10.089
angles: 90.00 89.90 90.00
Fractional positions:
Np 0.000 0.500 0.000
S 0.611 0.034 0.255
S 0.803 0.809 0.557
S 0.303 0.691 0.057
S 0.889 0.534 0.245
S 0.697 0.309 0.943
Np 0.500 0.000 0.500
S 0.186 0.201 0.059
S 0.814 0.799 0.941
Sr 0.474 0.421 0.249
Sr 0.974 0.079 0.749
S 0.111 0.466 0.755
S 0.389 0.966 0.745
S 0.197 0.191 0.443
S 0.686 0.299 0.559
Sr 0.526 0.579 0.751
S 0.314 0.701 0.441
Ho 0.500 0.000 0.000
Ho 0.000 0.500 0.500
Sr 0.026 0.921 0.251